Compound: Sb2P5O16
Source: the Alexandria database
Functional: GGA-PBE
Structure: optimized geometry

## Properties
theoretical density	2.73	g/cm³
crystal system	monoclinic
electronic total energy	-316.8	eV per cell

Lattice parameters (Å, degrees): 10.436 7.617 10.678 69.57 90.00 90.00
Fractional positions:
Sb1 0.369 0.922 0.872
Sb2 0.631 0.922 0.372
Sb3 0.859 0.373 0.981
Sb4 0.141 0.373 0.481
P1 0.152 0.598 0.883
P2 0.701 0.553 0.627
P3 0.848 0.598 0.383
P4 0.462 0.510 0.507
P5 0.118 0.251 0.824
P6 0.299 0.553 0.127
P7 0.538 0.510 0.007
P8 0.882 0.251 0.324
P9 0.416 0.122 0.534
P10 0.584 0.122 0.034
O1 0.221 0.780 0.804
O2 0.485 0.674 0.891
O3 0.017 0.615 0.923
O4 0.696 0.768 0.571
O5 0.779 0.780 0.304
O6 0.167 0.466 0.797
O7 0.515 0.674 0.391
O8 0.983 0.615 0.423
O9 0.763 0.466 0.759
O10 0.304 0.768 0.071
O11 0.327 0.514 0.552
O12 0.515 0.326 0.967
O13 0.557 0.474 0.634
O14 0.764 0.483 0.515
O15 0.006 0.212 0.923
O16 0.833 0.466 0.297
O17 0.237 0.466 0.259
O18 0.080 0.250 0.687
O19 0.673 0.514 0.052
O20 0.236 0.129 0.886
O21 0.485 0.326 0.467
O22 0.443 0.474 0.134
O23 0.236 0.483 0.015
O24 0.530 0.007 0.954
O25 0.994 0.212 0.423
O26 0.271 0.140 0.519
O27 0.920 0.250 0.187
O28 0.460 0.049 0.681
O29 0.764 0.129 0.386
O30 0.470 0.007 0.454
O31 0.729 0.140 0.019
O32 0.540 0.049 0.181